A.
The following is a DFT calculation (PBE) of a relaxed TiAuCl2 crystal.

As for the total moment: 0.0 μB per cell. The theoretical density is 5.38 g/cm³.

It has space group I-42d (No. 122), with a = 8.578 Å, b = 8.578 Å, c = 5.297 Å, α = 90.00°, β = 90.00° and γ = 90.00°. Symmetry generates all atoms from Ti at (0.000, 0.000, 0.000), Au at (0.000, 0.000, 0.500) and Cl at (0.101, 0.750, 0.125).

***

B.
The following is a DFT calculation (PBE) of a relaxed TiAuCl2 crystal.

As for the total moment: 0.0 μB per cell. The theoretical density is 6.15 g/cm³.

It has space group R-3m (No. 166, hexagonal axes), with a = 3.0878 Å, b = 3.0878 Å, c = 30.9571 Å, α = 90.00°, β = 90.00° and γ = 120.00°. Symmetry generates all atoms from Ti at (0.0000, 0.0000, 0.0000), Au at (0.0000, 0.0000, 0.5000) and Cl at (0.0000, 0.0000, 0.3871).

***

Energy relative to the most stable one, in eV/atom: A 0.255; B 0.000